{
  "formula": "Rb2CdH6Rh",
  "functional": "PBE-GGA",
  "state": "optimized geometry",
  "lattice": [[5.2422, 0.0000, 0.0000], [0.0000, 6.1371, 0.0000], [0.0000, -3.0686, 5.3149]],
  "species": ["Rb", "Rb", "Cd", "H", "H", "H", "H", "H", "H", "Rh"],
  "fractional_positions": [[0.2161, 0.3333, 0.6667], [0.7839, 0.6667, 0.3333], [0.5000, 0.0000, 0.0000], [0.8149, 0.1342, 0.2684], [0.8149, 0.1342, 0.8658], [0.8149, 0.7316, 0.8658], [0.1851, 0.8658, 0.1342], [0.1851, 0.2684, 0.1342], [0.1851, 0.8658, 0.7316], [0.0000, 0.0000, 0.0000]],
  "magnetic_moment_mub_per_cell": 0.00,
  "crystal_system": "trigonal",
  "dft_energy_ev_per_fu": -32.03
}